Below is LiIr after structural relaxation, with properties calculated at the PBE level.

Cell lengths 4.7008, 4.7008, 4.7008 Å; angles 90.00, 90.00, 90.00 degrees
Last column: nearest neighbours and their distance in Å.
Space group Fm-3m (No. 225)
Unique sites:
Li 0.0000 0.0000 0.0000 x4  6 Ir 2.35
Ir 0.0000 0.0000 0.5000 x4  6 Li 2.35

* VASP energy: -4.5332 eV/atom
* calculated volume: 12.98 Å³ per atom

---

Below is LiIr3 after structural relaxation, with properties calculated at the PBE level.

Cell lengths 7.1285, 7.3941, 4.5929 Å; angles 90.00, 90.00, 90.00 degrees
Last column: nearest neighbours and their distance in Å.
Space group Cmcm (No. 63)
Unique sites:
Li 0.0000 0.0407 0.2500 x4  2 Li 2.37, 2 Ir 2.64
Ir 0.0000 0.4015 0.2500 x4  10 Ir 2.64-2.78, 1 Li 2.67
Ir 0.1809 0.2793 0.7500 x8  7 Ir 2.54-2.78, 2 Li 2.64-2.70

* VASP energy: -7.0197 eV/atom
* calculated volume: 15.13 Å³ per atom

---

Below is LiIr after structural relaxation, with properties calculated at the PBE level.

Cell lengths 5.2965, 5.2965, 7.8431 Å; angles 90.00, 90.00, 90.00 degrees
Last column: nearest neighbours and their distance in Å.
Space group I4_122 (No. 98)
Unique sites:
Li 0.0326 0.2500 0.1250 x8  4 Li 2.55-2.67, 6 Ir 2.63-2.73
Ir 0.0358 0.7500 0.6250 x8  4 Ir 2.53-2.68, 6 Li 2.63-2.73

* VASP energy: -5.5782 eV/atom
* calculated volume: 13.75 Å³ per atom

---

Below is LiIr2 after structural relaxation, with properties calculated at the PBE level.

Cell lengths 3.8975, 3.8975, 21.6179 Å; angles 90.00, 90.00, 90.00 degrees
Last column: nearest neighbours and their distance in Å.
Space group I4_1/amd (No. 141, origin choice 2)
Unique sites:
Li 0.0000 0.2500 0.2935 x8  10 Ir 2.52-2.76, 2 Li 2.71
Ir 0.0000 0.2500 0.1322 x8  4 Li 2.52-2.73, 8 Ir 2.60-2.81
Ir 0.0000 0.2500 0.7884 x8  6 Ir 2.56-2.81, 6 Li 2.63-2.76

* VASP energy: -6.5303 eV/atom
* calculated volume: 13.68 Å³ per atom

---

Below is LiIr2 after structural relaxation, with properties calculated at the PBE level.

Cell lengths 4.1701, 4.1701, 5.2453 Å; angles 90.00, 90.00, 120.00 degrees
Last column: nearest neighbours and their distance in Å.
Space group P6_3/mmc (No. 194)
Unique sites:
Li 0.3333 0.6667 0.2500 x2  5 Ir 2.41-2.62
Ir 0.0000 0.0000 0.0000 x2  8 Ir 2.62-2.74, 6 Li 2.74
Ir 0.3333 0.6667 0.7500 x2  5 Li 2.41-2.62

* VASP energy: -6.4270 eV/atom
* calculated volume: 13.17 Å³ per atom

---

Below is LiIr3 after structural relaxation, with properties calculated at the PBE level.

Cell lengths 2.6986, 8.7653, 4.7107 Å; angles 90.00, 90.00, 90.00 degrees
Last column: nearest neighbours and their distance in Å.
Space group Imm2 (No. 44)
Unique sites:
Li 0.0000 0.0000 0.0000 x2  10 Ir 2.60-2.78, 2 Li 2.70
Ir 0.0000 0.2407 0.3239 x4  3 Li 2.60-2.77, 9 Ir 2.66-2.72
Ir 0.0000 0.5000 0.0153 x2  4 Li 2.65-2.78, 8 Ir 2.66-2.70

* VASP energy: -7.2970 eV/atom
* calculated volume: 13.93 Å³ per atom

---

Below is LiIr3 after structural relaxation, with properties calculated at the PBE level.

Cell lengths 5.4193, 5.4193, 8.6698 Å; angles 90.00, 90.00, 120.00 degrees
Last column: nearest neighbours and their distance in Å.
Space group P6_3/mmc (No. 194)
Unique sites:
Li 0.0000 0.0000 0.0000 x2  12 Ir 2.64-2.71
Li 0.3333 0.6667 0.2500 x2  12 Ir 2.67-2.71
Ir 0.0000 0.5000 0.0000 x6  4 Li 2.67-2.71, 8 Ir 2.69-2.71
Ir 0.1606 0.3211 0.7500 x6  8 Ir 2.61-2.81, 4 Li 2.64-2.71

* VASP energy: -7.1194 eV/atom
* calculated volume: 13.78 Å³ per atom

---

Below is Li2Ir after structural relaxation, with properties calculated at the PBE level.

Cell lengths 4.2568, 4.2568, 4.8968 Å; angles 90.00, 90.00, 120.00 degrees
Last column: nearest neighbours and their distance in Å.
Space group P6_3/mmc (No. 194)
Unique sites:
Li 0.0000 0.0000 0.0000 x2  2 Li 2.45
Li 0.3333 0.6667 0.2500 x2  5 Ir 2.45-2.46
Ir 0.3333 0.6667 0.7500 x2  5 Li 2.45-2.46

* VASP energy: -4.0069 eV/atom
* calculated volume: 12.81 Å³ per atom